1.
AgMoAsSe2 after structural relaxation. Source: the Alexandria database, functional PBE.

```
data_AgMoAsSe2
_chemical_formula_sum 'Ag1 Mo1 As1 Se2'
_cell_length_a 4.952
_cell_length_b 4.952
_cell_length_c 4.915
_cell_angle_alpha 90.00
_cell_angle_beta 90.00
_cell_angle_gamma 90.00
_space_group_name_H-M_alt 'P 1'
_space_group_IT_number 1
loop_
_space_group_symop_operation_xyz
'x,y,z'
loop_
_atom_site_label
_atom_site_fract_x
_atom_site_fract_y
_atom_site_fract_z
_atom_site_occupancy
As1 0.000 0.000 0.500 1
Mo1 0.000 0.000 0.000 1
Se1 0.000 0.500 0.000 1
Se2 0.500 0.000 0.000 1
Ag1 0.500 0.500 0.500 1
```

## Properties
Excess energy over the best structure of this formula in the dataset in meV/atom: 0.0
Volume in Å³/cell: 121
Density of states at the Fermi level in states/eV per cell: 4.545

---

2.
Ag2SnMoAs after structural relaxation. Source: the Alexandria database, functional PBE.

```
data_Ag2SnMoAs
_chemical_formula_sum 'Ag2 Sn1 Mo1 As1'
_cell_length_a 5.086
_cell_length_b 5.403
_cell_length_c 5.086
_cell_angle_alpha 90.00
_cell_angle_beta 90.00
_cell_angle_gamma 90.00
_space_group_name_H-M_alt 'P 1'
_space_group_IT_number 1
loop_
_space_group_symop_operation_xyz
'x,y,z'
loop_
_atom_site_label
_atom_site_fract_x
_atom_site_fract_y
_atom_site_fract_z
_atom_site_occupancy
As1 0.000 0.500 0.000 1
Mo1 0.500 0.500 0.500 1
Sn1 0.000 0.000 0.000 1
Ag1 0.000 0.000 0.500 1
Ag2 0.500 0.000 0.000 1
```

## Properties
Volume in Å³/cell: 140
Calculated formation energy in eV/atom: 1.3363
Density of states at the Fermi level in states/eV per cell: 2.407

---

3.
YAg2MoAs after structural relaxation. Source: the Alexandria database, functional PBE.

```
data_YAg2MoAs
_chemical_formula_sum 'Y1 Ag2 Mo1 As1'
_cell_length_a 5.091
_cell_length_b 5.091
_cell_length_c 4.726
_cell_angle_alpha 90.00
_cell_angle_beta 90.00
_cell_angle_gamma 90.00
_space_group_name_H-M_alt 'P 1'
_space_group_IT_number 1
loop_
_space_group_symop_operation_xyz
'x,y,z'
loop_
_atom_site_label
_atom_site_fract_x
_atom_site_fract_y
_atom_site_fract_z
_atom_site_occupancy
Y1 0.500 0.500 0.500 1
Mo1 0.000 0.000 0.000 1
As1 0.000 0.000 0.500 1
Ag1 0.000 0.500 0.000 1
Ag2 0.500 0.000 0.000 1
```

## Properties
Volume in Å³/cell: 123
Calculated formation energy in eV/atom: 0.4181
Density of states at the Fermi level in states/eV per cell: 5.678

---

4.
AgAsN2 after structural relaxation. Source: the Alexandria database, functional PBE.

```
data_AgAsN2
_chemical_formula_sum 'Ag2 As2 N4'
_cell_length_a 5.119
_cell_length_b 5.119
_cell_length_c 5.451
_cell_angle_alpha 62.00
_cell_angle_beta 62.00
_cell_angle_gamma 90.00
_space_group_name_H-M_alt 'P 1'
_space_group_IT_number 1
loop_
_space_group_symop_operation_xyz
'x,y,z'
loop_
_atom_site_label
_atom_site_fract_x
_atom_site_fract_y
_atom_site_fract_z
_atom_site_occupancy
As1 0.500 0.500 0.000 1
As2 0.250 0.750 0.500 1
Ag1 0.000 0.000 0.000 1
Ag2 0.750 0.250 0.500 1
N1 0.537 0.125 0.250 1
N2 0.213 0.625 0.250 1
N3 0.375 0.463 0.750 1
N4 0.875 0.787 0.750 1
```

## Properties
Volume in Å³/cell: 107
Density of states at the Fermi level in states/eV per cell: 0.000
Total energy in eV per atom: -5.43

---

5.
Ag2AsN after structural relaxation. Source: the Alexandria database, functional PBE.

```
data_Ag2AsN
_chemical_formula_sum 'Ag4 As2 N2'
_cell_length_a 6.027
_cell_length_b 6.027
_cell_length_c 5.885
_cell_angle_alpha 59.20
_cell_angle_beta 59.20
_cell_angle_gamma 90.00
_space_group_name_H-M_alt 'P 1'
_space_group_IT_number 1
loop_
_space_group_symop_operation_xyz
'x,y,z'
loop_
_atom_site_label
_atom_site_fract_x
_atom_site_fract_y
_atom_site_fract_z
_atom_site_occupancy
As1 0.000 0.000 0.000 1
As2 0.750 0.250 0.500 1
Ag1 0.561 0.125 0.250 1
Ag2 0.189 0.625 0.250 1
Ag3 0.375 0.439 0.750 1
Ag4 0.875 0.811 0.750 1
N1 0.500 0.500 0.000 1
N2 0.250 0.750 0.500 1
```

## Properties
Excess energy over the best structure of this formula in the dataset in meV/atom: 0.0
Volume in Å³/cell: 147
Density of states at the Fermi level in states/eV per cell: 4.033

---

6.
AgAsN3 after structural relaxation. Source: the Alexandria database, functional PBE.

```
data_AgAsN3
_chemical_formula_sum 'Ag1 As1 N3'
_cell_length_a 3.823
_cell_length_b 3.823
_cell_length_c 3.823
_cell_angle_alpha 90.00
_cell_angle_beta 90.00
_cell_angle_gamma 90.00
_space_group_name_H-M_alt 'P 1'
_space_group_IT_number 1
loop_
_space_group_symop_operation_xyz
'x,y,z'
loop_
_atom_site_label
_atom_site_fract_x
_atom_site_fract_y
_atom_site_fract_z
_atom_site_occupancy
As1 0.000 0.000 0.000 1
Ag1 0.500 0.500 0.500 1
N1 0.000 0.500 0.000 1
N2 0.000 0.000 0.500 1
N3 0.500 0.000 0.000 1
```

## Properties
Volume in Å³/cell: 56
Density of states at the Fermi level in states/eV per cell: 1.570
Total energy in eV per atom: -4.77

---

7.
AgAsN after structural relaxation. Source: the Alexandria database, functional PBE.

```
data_AgAsN
_chemical_formula_sum 'Ag2 As2 N2'
_cell_length_a 2.904
_cell_length_b 3.626
_cell_length_c 10.954
_cell_angle_alpha 110.64
_cell_angle_beta 97.63
_cell_angle_gamma 89.95
_space_group_name_H-M_alt 'P 1'
_space_group_IT_number 1
loop_
_space_group_symop_operation_xyz
'x,y,z'
loop_
_atom_site_label
_atom_site_fract_x
_atom_site_fract_y
_atom_site_fract_z
_atom_site_occupancy
N1 0.900 0.862 0.800 1
N2 0.100 0.138 0.200 1
Ag1 0.207 0.146 0.413 1
Ag2 0.793 0.854 0.587 1
As1 0.437 0.701 0.873 1
As2 0.563 0.299 0.127 1
```

## Properties
Volume in Å³/cell: 107
Density of states at the Fermi level in states/eV per cell: 1.034
Total energy in eV per atom: -4.77

---

8.
AgAs3N after structural relaxation. Source: the Alexandria database, functional PBE.

```
data_AgAs3N
_chemical_formula_sum 'Ag1 As3 N1'
_cell_length_a 4.952
_cell_length_b 4.952
_cell_length_c 4.952
_cell_angle_alpha 90.00
_cell_angle_beta 90.00
_cell_angle_gamma 90.00
_space_group_name_H-M_alt 'P 1'
_space_group_IT_number 1
loop_
_space_group_symop_operation_xyz
'x,y,z'
loop_
_atom_site_label
_atom_site_fract_x
_atom_site_fract_y
_atom_site_fract_z
_atom_site_occupancy
As1 0.000 0.500 0.000 1
As2 0.000 0.000 0.500 1
As3 0.500 0.000 0.000 1
Ag1 0.000 0.000 0.000 1
N1 0.500 0.500 0.500 1
```

## Properties
Excess energy over the best structure of this formula in the dataset in meV/atom: 1346.1
Volume in Å³/cell: 121
Density of states at the Fermi level in states/eV per cell: 7.727

---

9.
AgAs2N after structural relaxation. Source: the Alexandria database, functional PBE.

```
data_AgAs2N
_chemical_formula_sum 'Ag2 As4 N2'
_cell_length_a 5.730
_cell_length_b 5.730
_cell_length_c 6.074
_cell_angle_alpha 61.86
_cell_angle_beta 61.86
_cell_angle_gamma 90.00
_space_group_name_H-M_alt 'P 1'
_space_group_IT_number 1
loop_
_space_group_symop_operation_xyz
'x,y,z'
loop_
_atom_site_label
_atom_site_fract_x
_atom_site_fract_y
_atom_site_fract_z
_atom_site_occupancy
As1 0.551 0.125 0.250 1
As2 0.199 0.625 0.250 1
As3 0.375 0.449 0.750 1
As4 0.875 0.801 0.750 1
Ag1 0.000 0.000 0.000 1
Ag2 0.750 0.250 0.500 1
N1 0.500 0.500 0.000 1
N2 0.250 0.750 0.500 1
```

## Properties
Volume in Å³/cell: 149
Density of states at the Fermi level in states/eV per cell: 0.328
Total energy in eV per atom: -4.49

---

10.
AgAs3N after structural relaxation. Source: the Alexandria database, functional PBE.

```
data_AgAs3N
_chemical_formula_sum 'Ag1 As3 N1'
_cell_length_a 4.396
_cell_length_b 4.396
_cell_length_c 4.396
_cell_angle_alpha 90.00
_cell_angle_beta 90.00
_cell_angle_gamma 90.00
_space_group_name_H-M_alt 'P 1'
_space_group_IT_number 1
loop_
_space_group_symop_operation_xyz
'x,y,z'
loop_
_atom_site_label
_atom_site_fract_x
_atom_site_fract_y
_atom_site_fract_z
_atom_site_occupancy
As1 0.000 0.500 0.000 1
As2 0.000 0.000 0.500 1
As3 0.500 0.000 0.000 1
Ag1 0.500 0.500 0.500 1
N1 0.000 0.000 0.000 1
```

## Properties
Excess energy over the best structure of this formula in the dataset in meV/atom: 0.0
Volume in Å³/cell: 85
Density of states at the Fermi level in states/eV per cell: 3.254

---

11.
Ag2AsN after structural relaxation. Source: the Alexandria database, functional PBE.

```
data_Ag2AsN
_chemical_formula_sum 'Ag2 As1 N1'
_cell_length_a 4.433
_cell_length_b 4.433
_cell_length_c 4.433
_cell_angle_alpha 60.00
_cell_angle_beta 60.00
_cell_angle_gamma 60.00
_space_group_name_H-M_alt 'P 1'
_space_group_IT_number 1
loop_
_space_group_symop_operation_xyz
'x,y,z'
loop_
_atom_site_label
_atom_site_fract_x
_atom_site_fract_y
_atom_site_fract_z
_atom_site_occupancy
As1 0.500 0.500 0.500 1
Ag1 0.250 0.250 0.250 1
Ag2 0.750 0.750 0.750 1
N1 0.000 0.000 0.000 1
```

## Properties
Excess energy over the best structure of this formula in the dataset in meV/atom: 67.2
Volume in Å³/cell: 62
Density of states at the Fermi level in states/eV per cell: 1.710

---

12.
AgAsN3 after structural relaxation. Source: the Alexandria database, functional PBE.

```
data_AgAsN3
_chemical_formula_sum 'Ag1 As1 N3'
_cell_length_a 4.018
_cell_length_b 4.018
_cell_length_c 4.018
_cell_angle_alpha 90.00
_cell_angle_beta 90.00
_cell_angle_gamma 90.00
_space_group_name_H-M_alt 'P 1'
_space_group_IT_number 1
loop_
_space_group_symop_operation_xyz
'x,y,z'
loop_
_atom_site_label
_atom_site_fract_x
_atom_site_fract_y
_atom_site_fract_z
_atom_site_occupancy
As1 0.500 0.500 0.500 1
Ag1 0.000 0.000 0.000 1
N1 0.000 0.500 0.000 1
N2 0.000 0.000 0.500 1
N3 0.500 0.000 0.000 1
```

## Properties
Volume in Å³/cell: 65
Density of states at the Fermi level in states/eV per cell: 5.037
Total energy in eV per atom: -3.91

---

13.
AgAsN2 after structural relaxation. Source: the Alexandria database, functional PBE.

```
data_AgAsN2
_chemical_formula_sum 'Ag1 As1 N2'
_cell_length_a 6.074
_cell_length_b 6.074
_cell_length_c 6.074
_cell_angle_alpha 35.60
_cell_angle_beta 35.60
_cell_angle_gamma 35.60
_space_group_name_H-M_alt 'P 1'
_space_group_IT_number 1
loop_
_space_group_symop_operation_xyz
'x,y,z'
loop_
_atom_site_label
_atom_site_fract_x
_atom_site_fract_y
_atom_site_fract_z
_atom_site_occupancy
As1 0.000 0.000 0.000 1
Ag1 0.500 0.500 0.500 1
N1 0.900 0.900 0.900 1
N2 0.100 0.100 0.100 1
```

## Properties
Volume in Å³/cell: 68
Density of states at the Fermi level in states/eV per cell: 1.371
Total energy in eV per atom: -4.74

---

14.
AgAsN2 after structural relaxation. Source: the Alexandria database, functional PBE.

```
data_AgAsN2
_chemical_formula_sum 'Ag1 As1 N2'
_cell_length_a 6.548
_cell_length_b 6.548
_cell_length_c 6.548
_cell_angle_alpha 26.29
_cell_angle_beta 26.29
_cell_angle_gamma 26.29
_space_group_name_H-M_alt 'P 1'
_space_group_IT_number 1
loop_
_space_group_symop_operation_xyz
'x,y,z'
loop_
_atom_site_label
_atom_site_fract_x
_atom_site_fract_y
_atom_site_fract_z
_atom_site_occupancy
As1 0.500 0.500 0.500 1
Ag1 0.000 0.000 0.000 1
N1 0.887 0.887 0.887 1
N2 0.113 0.113 0.113 1
```

## Properties
Volume in Å³/cell: 49
Density of states at the Fermi level in states/eV per cell: 0.000
Total energy in eV per atom: -5.45